Record 1
A relaxed structure of Tl2Bi2Pb15. Source: Alexandria, functional GGA-PBE.

Cell: 9.023 9.023 9.023 Å, 72.21 72.21 72.21°
Atoms (fractional coordinates):
Tl  0.092  0.092  0.092
Tl  0.908  0.908  0.908
Bi  0.369  0.369  0.369
Bi  0.631  0.631  0.631
Pb  0.000  0.000  0.500
Pb  0.000  0.304  0.696
Pb  0.000  0.500  0.000
Pb  0.000  0.696  0.304
Pb  0.157  0.607  0.607
Pb  0.304  0.000  0.696
Pb  0.304  0.696  0.000
Pb  0.393  0.393  0.843
Pb  0.393  0.843  0.393
Pb  0.500  0.000  0.000
Pb  0.607  0.157  0.607
Pb  0.607  0.607  0.157
Pb  0.696  0.000  0.304
Pb  0.696  0.304  0.000
Pb  0.843  0.393  0.393

Calculated values
- final energy (eV for the cell shown) = -65.79
- magnetic moment (μB/f.u.) = 0.00
- mass density (g/cm³) = 10.09

---

Record 2
A relaxed structure of Pr3HfH. Source: Alexandria, functional GGA-PBE.

Cell: 5.051 5.051 5.051 Å, 90.00 90.00 90.00°
Atoms (fractional coordinates):
Pr  0.000  0.000  0.500
Pr  0.000  0.500  0.000
Pr  0.500  0.000  0.000
Hf  0.500  0.500  0.500
H  0.000  0.000  0.000

Calculated values
- final energy (eV for the cell shown) = -27.55
- magnetic moment (μB/f.u.) = 0.00
- mass density (g/cm³) = 7.76

---

Record 3
A relaxed structure of Sc3RhC4. Source: Alexandria, functional GGA-PBE.

Cell: 6.771 6.771 5.632 Å, 96.50 96.50 130.85°
Atoms (fractional coordinates):
Sc  0.188  0.812  0.000
Sc  0.240  0.240  0.760
Sc  0.310  0.690  0.500
Sc  0.690  0.310  0.500
Sc  0.760  0.760  0.240
Sc  0.812  0.188  0.000
Rh  0.270  0.270  0.271
Rh  0.730  0.730  0.729
C  0.051  0.793  0.582
C  0.207  0.949  0.418
C  0.289  0.548  0.078
C  0.452  0.711  0.922
C  0.548  0.289  0.078
C  0.711  0.452  0.922
C  0.793  0.051  0.582
C  0.949  0.207  0.418

Calculated values
- final energy (eV for the cell shown) = -134.38
- magnetic moment (μB/f.u.) = 0.00
- mass density (g/cm³) = 5.05

---

Record 4
A relaxed structure of Ce2YO. Source: Alexandria, functional GGA-PBE.

Cell: 9.520 9.520 9.520 Å, 21.04 21.04 21.04°
Atoms (fractional coordinates):
Ce  0.115  0.115  0.115
Ce  0.885  0.885  0.885
Y  0.000  0.000  0.000
O  0.500  0.500  0.500

Calculated values
- final energy (eV for the cell shown) = -27.76
- magnetic moment (μB/f.u.) = 1.36
- raw formation energy (eV/atom) = -1.12
- mass density (g/cm³) = 6.57

---

Record 5
A relaxed structure of TbDy9Tm2. Source: Alexandria, functional GGA-PBE.

Cell: 11.146 11.146 3.476 Å, 90.00 90.00 120.00°
Atoms (fractional coordinates):
Tb  0.000  0.000  0.000
Dy  0.000  0.500  0.000
Dy  0.177  0.354  0.500
Dy  0.177  0.823  0.500
Dy  0.354  0.177  0.500
Dy  0.500  0.000  0.000
Dy  0.500  0.500  0.000
Dy  0.646  0.823  0.500
Dy  0.823  0.177  0.500
Dy  0.823  0.646  0.500
Tm  0.333  0.667  0.000
Tm  0.667  0.333  0.000

Calculated values
- final energy (eV for the cell shown) = -54.43
- magnetic moment (μB/f.u.) = 0.00
- E above lowest polymorph (meV per atom) = 25.2
- mass density (g/cm³) = 8.70

---

Record 6
A relaxed structure of NaMnB2. Source: Alexandria, functional GGA-PBE.

Cell: 3.806 3.806 3.806 Å, 60.00 60.00 60.00°
Atoms (fractional coordinates):
Na  0.000  0.000  0.000
Mn  0.500  0.500  0.500
B  0.250  0.250  0.250
B  0.750  0.750  0.750

Calculated values
- final energy (eV for the cell shown) = -19.01
- magnetic moment (μB/f.u.) = 0.00
- E above lowest polymorph (meV per atom) = 471.3
- mass density (g/cm³) = 4.24

---

Record 7
A relaxed structure of ThCu4. Source: Alexandria, functional GGA-PBE.

Cell: 5.217 5.217 5.217 Å, 90.00 90.00 90.00°
Atoms (fractional coordinates):
Th  0.000  0.000  0.000
Cu  0.000  0.000  0.500
Cu  0.000  0.500  0.000
Cu  0.500  0.000  0.000
Cu  0.500  0.500  0.500

Calculated values
- final energy (eV for the cell shown) = -16.09
- magnetic moment (μB/f.u.) = 0.00
- mass density (g/cm³) = 5.69

---

Record 8
A relaxed structure of In2ReO6. Source: Alexandria, functional GGA-PBE.

Cell: 4.835 4.835 9.840 Å, 90.00 90.00 90.00°
Atoms (fractional coordinates):
In  0.000  0.000  0.166
In  0.000  0.000  0.834
In  0.500  0.500  0.334
In  0.500  0.500  0.666
Re  0.000  0.000  0.500
Re  0.500  0.500  0.000
O  0.186  0.186  0.349
O  0.186  0.186  0.651
O  0.221  0.221  0.000
O  0.279  0.721  0.500
O  0.314  0.686  0.151
O  0.314  0.686  0.849
O  0.686  0.314  0.151
O  0.686  0.314  0.849
O  0.721  0.279  0.500
O  0.779  0.779  0.000
O  0.814  0.814  0.349
O  0.814  0.814  0.651

Calculated values
- final energy (eV for the cell shown) = -122.37
- magnetic moment (μB/f.u.) = 0.85
- raw formation energy (eV/atom) = -1.50
- mass density (g/cm³) = 7.39

---

Record 9
A relaxed structure of Li2AlGaH. Source: Alexandria, functional GGA-PBE.

Cell: 3.892 3.892 4.232 Å, 90.00 90.00 90.00°
Atoms (fractional coordinates):
Li  0.000  0.500  0.000
Li  0.500  0.000  0.000
Al  0.000  0.000  0.500
Ga  0.500  0.500  0.500
H  0.000  0.000  0.000

Calculated values
- final energy (eV for the cell shown) = -14.72
- magnetic moment (μB/f.u.) = 0.00
- E above lowest polymorph (meV per atom) = 0.0
- mass density (g/cm³) = 2.89

---

Record 10
A relaxed structure of SrTaAlFe2. Source: Alexandria, functional GGA-PBE.

Cell: 4.668 4.668 4.952 Å, 90.00 90.00 90.00°
Atoms (fractional coordinates):
Sr  0.000  0.000  0.000
Ta  0.500  0.500  0.000
Al  0.500  0.500  0.500
Fe  0.000  0.500  0.500
Fe  0.500  0.000  0.500

Calculated values
- final energy (eV for the cell shown) = -28.92
- magnetic moment (μB/f.u.) = 5.23
- E above lowest polymorph (meV per atom) = 0.0
- mass density (g/cm³) = 6.27

---

Record 11
A relaxed structure of Rb2Cd6Au. Source: Alexandria, functional GGA-PBE.

Cell: 6.137 6.137 7.597 Å, 93.04 93.04 68.98°
Atoms (fractional coordinates):
Rb  0.164  0.164  0.398
Rb  0.836  0.836  0.602
Cd  0.094  0.668  0.118
Cd  0.332  0.906  0.882
Cd  0.384  0.384  0.821
Cd  0.616  0.616  0.179
Cd  0.668  0.094  0.118
Cd  0.906  0.332  0.882
Au  0.500  0.500  0.500

Calculated values
- final energy (eV for the cell shown) = -11.47
- magnetic moment (μB/f.u.) = 0.00
- mass density (g/cm³) = 6.49

---

Record 12
A relaxed structure of Cr2PtCl. Source: Alexandria, functional GGA-PBE.

Cell: 2.887 2.887 8.338 Å, 90.00 90.00 90.00°
Atoms (fractional coordinates):
Cr  0.000  0.000  0.000
Cr  0.500  0.500  0.210
Pt  0.000  0.000  0.408
Cl  0.500  0.500  0.811

Calculated values
- final energy (eV for the cell shown) = -26.60
- magnetic moment (μB/f.u.) = 0.56
- raw formation energy (eV/atom) = 0.13
- E above lowest polymorph (meV per atom) = 139.4
- mass density (g/cm³) = 7.99

---

Which of these has the lowest final energy? Sc3RhC4

---

Look up the final energy of the second one. -27.55 eV for the cell shown